[1]
This record from Alexandria describes crystalline NbSbOs2O at its relaxed geometry. The functional is PBE.

abc: 4.977 4.977 3.811
angles: 90.00 90.00 90.00
Sites, in units of the cell vectors:
Nb (0.000, 0.000, 0.000)
Sb (0.500, 0.500, 0.500)
Os (0.000, 0.500, 0.000)
Os (0.500, 0.000, 0.000)
O (0.000, 0.000, 0.500)

## Properties
As for the space group: P4/mmm. The calculation puts the density of states at the Fermi level at 4.731 states/eV/f.u.

[2]
This record from Alexandria describes crystalline NbTlOsO6 at its relaxed geometry. The functional is PBE.

abc: 7.378 7.378 7.378
angles: 121.01 119.20 89.82
Sites, in units of the cell vectors:
Nb (0.000, 0.000, 0.000)
Nb (0.500, 0.000, 0.500)
Tl (0.347, 0.597, 0.750)
Tl (0.653, 0.403, 0.250)
Os (0.000, 0.000, 0.500)
Os (0.000, 0.500, 0.000)
O (0.047, 0.297, 0.750)
O (0.054, 0.325, 0.133)
O (0.054, 0.921, 0.729)
O (0.308, 0.079, 0.633)
O (0.308, 0.675, 0.229)
O (0.314, 0.064, 0.250)
O (0.686, 0.936, 0.750)
O (0.692, 0.325, 0.771)
O (0.692, 0.921, 0.367)
O (0.946, 0.079, 0.271)
O (0.946, 0.675, 0.867)
O (0.953, 0.703, 0.250)

## Properties
As for the space group: Imma. The calculation puts the density of states at the Fermi level at 3.648 states/eV/f.u.

| no. | total moment (μB/cell) | formation energy without anion corrections (eV per atom) |
| --- | --- | --- |
| 1 | 0.0 | 0.77 |
| 2 | 0.0 | -1.53 |